Record 1
# CaZnTc4 PBE-GGA relaxed
# DOS at the Fermi energy: 3.79 states/eV/f.u.
# Size of the total moment: 0.0 Bohr magnetons per cell
# Total DFT energy (no corrections): -7.131 eV per atom
data_CaZnTc4
_chemical_formula_sum 'Ca4 Zn4 Tc16'
_symmetry_space_group_name_H-M 'F -4 3 m'
_symmetry_Int_Tables_number 216
_symmetry_space_group_name_Hall 'F -4 2 3'
_cell_length_a 7.4360
_cell_length_b 7.4360
_cell_length_c 7.4360
_cell_angle_alpha 90.00
_cell_angle_beta 90.00
_cell_angle_gamma 90.00
loop_
_atom_site_label
_atom_site_fract_x
_atom_site_fract_y
_atom_site_fract_z
_atom_site_occupancy
Ca1 0.0000 0.0000 0.0000 1
Zn1 0.2500 0.2500 0.2500 1
Tc1 0.1243 0.1243 0.6243 1

***

Record 2
# NaLiI2 PBE-GGA relaxed
# DOS at the Fermi energy: 0.00 states/eV/f.u.
# Size of the total moment: 0.0 Bohr magnetons per cell
# Total DFT energy (no corrections): -2.792 eV per atom
data_NaLiI2
_chemical_formula_sum 'Na2 Li2 I4'
_symmetry_space_group_name_H-M 'P 1'
_symmetry_Int_Tables_number 1
_cell_length_a 4.6753
_cell_length_b 8.2876
_cell_length_c 8.4968
_cell_angle_alpha 81.26
_cell_angle_beta 89.97
_cell_angle_gamma 73.67
loop_
_symmetry_equiv_pos_as_xyz
'x,y,z'
loop_
_atom_site_label
_atom_site_fract_x
_atom_site_fract_y
_atom_site_fract_z
_atom_site_occupancy
Na1 0.0000 0.0000 0.0000 1
Na2 0.2387 0.5204 0.7217 1
Li1 0.4864 0.0262 0.4771 1
Li2 0.7465 0.5069 0.2376 1
I1 0.1963 0.6080 0.0633 1
I2 0.4367 0.1276 0.7759 1
I3 0.6645 0.6699 0.5072 1
I4 0.9242 0.1516 0.3137 1

***

Record 3
# TlP2Br PBE-GGA relaxed
# DOS at the Fermi energy: 3.09 states/eV/f.u.
# Size of the total moment: 0.0 Bohr magnetons per cell
# Total DFT energy (no corrections): -3.019 eV per atom
data_TlP2Br
_chemical_formula_sum 'Tl2 P4 Br2'
_symmetry_space_group_name_H-M 'C m m m'
_symmetry_Int_Tables_number 65
_symmetry_space_group_name_Hall '-C 2 2'
_cell_length_a 5.6066
_cell_length_b 13.3672
_cell_length_c 2.6945
_cell_angle_alpha 90.00
_cell_angle_beta 90.00
_cell_angle_gamma 90.00
loop_
_atom_site_label
_atom_site_fract_x
_atom_site_fract_y
_atom_site_fract_z
_atom_site_occupancy
Tl1 0.0000 0.0000 0.0000 1
P1 0.2500 0.2500 0.5000 1
Br1 0.0000 0.5000 0.0000 1

***

Record 4
# DyZrCuIr PBE-GGA relaxed
# DOS at the Fermi energy: 3.45 states/eV/f.u.
# Size of the total moment: 0.0 Bohr magnetons per cell
# Total DFT energy (no corrections): -7.032 eV per atom
data_DyZrCuIr
_chemical_formula_sum 'Dy4 Zr4 Cu4 Ir4'
_symmetry_space_group_name_H-M 'F -4 3 m'
_symmetry_Int_Tables_number 216
_symmetry_space_group_name_Hall 'F -4 2 3'
_cell_length_a 6.7420
_cell_length_b 6.7420
_cell_length_c 6.7420
_cell_angle_alpha 90.00
_cell_angle_beta 90.00
_cell_angle_gamma 90.00
loop_
_atom_site_label
_atom_site_fract_x
_atom_site_fract_y
_atom_site_fract_z
_atom_site_occupancy
Dy1 0.0000 0.0000 0.0000 1
Zr1 0.0000 0.0000 0.5000 1
Cu1 0.2500 0.2500 0.2500 1
Ir1 0.2500 0.2500 0.7500 1

***

Record 5
# Ca2GeSb PBE-GGA relaxed
# DOS at the Fermi energy: 2.38 states/eV/f.u.
# Size of the total moment: 0.0 Bohr magnetons per cell
# Total DFT energy (no corrections): -3.782 eV per atom
data_Ca2GeSb
_chemical_formula_sum 'Ca8 Ge4 Sb4'
_symmetry_space_group_name_H-M 'F m -3 m'
_symmetry_Int_Tables_number 225
_symmetry_space_group_name_Hall '-F 4 2 3'
_cell_length_a 7.5566
_cell_length_b 7.5566
_cell_length_c 7.5566
_cell_angle_alpha 90.00
_cell_angle_beta 90.00
_cell_angle_gamma 90.00
loop_
_atom_site_label
_atom_site_fract_x
_atom_site_fract_y
_atom_site_fract_z
_atom_site_occupancy
Ca1 0.2500 0.2500 0.2500 1
Ge1 0.0000 0.0000 0.0000 1
Sb1 0.0000 0.0000 0.5000 1

***

Record 6
# NaTi2AgTe PBE-GGA relaxed
# DOS at the Fermi energy: 11.81 states/eV/f.u.
# Size of the total moment: 2.9 Bohr magnetons per cell
# Total DFT energy (no corrections): -3.982 eV per atom
data_NaTi2AgTe
_chemical_formula_sum 'Na1 Ti2 Ag1 Te1'
_symmetry_space_group_name_H-M 'P 4/m m m'
_symmetry_Int_Tables_number 123
_symmetry_space_group_name_Hall '-P 4 2'
_cell_length_a 5.0334
_cell_length_b 5.0334
_cell_length_c 5.1308
_cell_angle_alpha 90.00
_cell_angle_beta 90.00
_cell_angle_gamma 90.00
loop_
_atom_site_label
_atom_site_fract_x
_atom_site_fract_y
_atom_site_fract_z
_atom_site_occupancy
Na1 0.0000 0.0000 0.0000 1
Ti1 0.0000 0.5000 0.5000 1
Ag1 0.0000 0.0000 0.5000 1
Te1 0.5000 0.5000 0.0000 1